# TlCrRh2 GGA-PBE optimized geometry
# Theoretical density (g cm⁻³): 11.947
# Calculated total energy (eV per atom): -6.565
data_TlCrRh2
_space_group_name_H-M_alt 'P 4/m m m'
_space_group_IT_number 123
_space_group_name_Hall '-P 4 2'
_cell_length_a 4.222
_cell_length_b 4.222
_cell_length_c 3.605
_cell_angle_alpha 90.00
_cell_angle_beta 90.00
_cell_angle_gamma 90.00
loop_
_atom_site_label
_atom_site_type_symbol
_atom_site_fract_x
_atom_site_fract_y
_atom_site_fract_z
_atom_site_occupancy
Tl1 Tl 0.000 0.000 0.000 1
Cr1 Cr 0.500 0.500 0.000 1
Rh1 Rh 0.000 0.500 0.500 1

=====

# TlCr2Rh GGA-PBE optimized geometry
# Theoretical density (g cm⁻³): 10.661
# Calculated total energy (eV per atom): -6.880
# Energy above the lowest structure with this stoichiometry (meV/atom): 80
data_TlCr2Rh
_space_group_name_H-M_alt 'C 1 m 1'
_space_group_IT_number 8
_cell_length_a 9.273
_cell_length_b 3.015
_cell_length_c 4.787
_cell_angle_alpha 90.00
_cell_angle_beta 106.85
_cell_angle_gamma 90.00
loop_
_space_group_symop_operation_xyz
'x,y,z'
'x,-y,z'
'x+1/2,y+1/2,z'
'x+1/2,-y+1/2,z'
loop_
_atom_site_label
_atom_site_type_symbol
_atom_site_fract_x
_atom_site_fract_y
_atom_site_fract_z
_atom_site_occupancy
Tl1 Tl 0.000 0.000 0.000 1
Cr1 Cr 0.271 0.500 0.291 1
Cr2 Cr 0.487 0.000 0.492 1
Rh1 Rh 0.234 0.000 0.732 1

=====

# TlCrRh GGA-PBE optimized geometry
# Theoretical density (g cm⁻³): 11.520
# Calculated total energy (eV per atom): -6.146
data_TlCrRh
_space_group_name_H-M_alt 'I 4 m m'
_space_group_IT_number 107
_space_group_name_Hall 'I 4 -2'
_cell_length_a 3.034
_cell_length_b 3.034
_cell_length_c 11.253
_cell_angle_alpha 90.00
_cell_angle_beta 90.00
_cell_angle_gamma 90.00
loop_
_atom_site_label
_atom_site_type_symbol
_atom_site_fract_x
_atom_site_fract_y
_atom_site_fract_z
_atom_site_occupancy
Tl1 Tl 0.000 0.000 0.000 1
Cr1 Cr 0.000 0.000 0.311 1
Rh1 Rh 0.000 0.000 0.687 1

=====

Number 1: DFT formation energy 0.108 eV per atom. Number 2: DFT formation energy 0.361 eV per atom. Number 3: DFT formation energy 0.301 eV per atom.